1.
# PBE-GGA Gd2HoCd3Ir2Pt, optimized geometry
# Formation energy from the elements, eV/f.u.: -5.97
data_Gd2HoCd3Ir2Pt
_symmetry_space_group_name_H-M 'A m m 2'
_symmetry_Int_Tables_number 38
_symmetry_space_group_name_Hall 'A 2 -2'
_cell_length_a 3.959
_cell_length_b 12.998
_cell_length_c 7.519
_cell_angle_alpha 90.00
_cell_angle_beta 90.00
_cell_angle_gamma 90.00
loop_
_atom_site_label
_atom_site_type_symbol
_atom_site_fract_x
_atom_site_fract_y
_atom_site_fract_z
Gd1 Gd 0.000 0.204 0.000
Ho1 Ho 0.000 0.000 0.389
Cd1 Cd 0.500 0.000 0.054
Cd2 Cd 0.500 0.129 0.667
Ir1 Ir 0.500 0.165 0.297
Pt1 Pt 0.000 0.000 0.794

=====

2.
Entry from OQMD via LeMat-Bulk: an optimized crystal structure of GdHo2Tl2Cd4 (PBE-GGA).

Structure (CIF):
```
data_GdHo2Tl2Cd4
_symmetry_space_group_name_H-M 'A m m 2'
_symmetry_Int_Tables_number 38
_symmetry_space_group_name_Hall 'A 2 -2'
_cell_length_a 4.570
_cell_length_b 13.133
_cell_length_c 7.536
_cell_angle_alpha 90.00
_cell_angle_beta 90.00
_cell_angle_gamma 90.00
loop_
_atom_site_label
_atom_site_type_symbol
_atom_site_fract_x
_atom_site_fract_y
_atom_site_fract_z
Gd1 Gd 0.000 0.000 0.000
Ho1 Ho 0.000 0.214 0.360
Tl1 Tl 0.500 0.168 0.073
Cd1 Cd 0.000 0.000 0.570
Cd2 Cd 0.500 0.000 0.332
Cd3 Cd 0.500 0.120 0.692
```

=====

3.
Entry from OQMD via LeMat-Bulk: an optimized crystal structure of GdHo2Tl2Zn3Cd (PBE-GGA).

Structure (CIF):
```
data_GdHo2Tl2Zn3Cd
_symmetry_space_group_name_H-M 'A m m 2'
_symmetry_Int_Tables_number 38
_symmetry_space_group_name_Hall 'A 2 -2'
_cell_length_a 4.545
_cell_length_b 12.590
_cell_length_c 7.207
_cell_angle_alpha 90.00
_cell_angle_beta 90.00
_cell_angle_gamma 90.00
loop_
_atom_site_label
_atom_site_type_symbol
_atom_site_fract_x
_atom_site_fract_y
_atom_site_fract_z
Gd1 Gd 0.000 0.000 0.000
Ho1 Ho 0.000 0.215 0.356
Tl1 Tl 0.500 0.168 0.071
Zn1 Zn 0.500 0.000 0.339
Zn2 Zn 0.500 0.115 0.685
Cd1 Cd 0.000 0.000 0.567
```

=====

4.
Entry from OQMD via LeMat-Bulk: an optimized crystal structure of GdCdSbI2 (PBE-GGA).

Structure (CIF):
```
data_GdCdSbI2
_symmetry_space_group_name_H-M 'P 3 m 1'
_symmetry_Int_Tables_number 156
_symmetry_space_group_name_Hall 'P 3 -2"'
_cell_length_a 4.4126
_cell_length_b 4.4126
_cell_length_c 10.8925
_cell_angle_alpha 90.00
_cell_angle_beta 90.00
_cell_angle_gamma 120.00
loop_
_atom_site_label
_atom_site_type_symbol
_atom_site_fract_x
_atom_site_fract_y
_atom_site_fract_z
Gd1 Gd 0.0000 0.0000 0.0000
Cd1 Cd 0.3333 0.6667 0.3034
Sb1 Sb 0.6667 0.3333 0.1541
I1 I 0.0000 0.0000 0.4678
I2 I 0.3333 0.6667 0.8217
```

=====

5.
Entry from OQMD via LeMat-Bulk: an optimized crystal structure of LaGdCd2In2 (PBE-GGA).

Structure (CIF):
```
data_LaGdCd2In2
_symmetry_space_group_name_H-M 'P 3 m 1'
_symmetry_Int_Tables_number 156
_symmetry_space_group_name_Hall 'P 3 -2"'
_cell_length_a 4.9147
_cell_length_b 4.9147
_cell_length_c 7.6938
_cell_angle_alpha 90.00
_cell_angle_beta 90.00
_cell_angle_gamma 120.00
loop_
_atom_site_label
_atom_site_type_symbol
_atom_site_fract_x
_atom_site_fract_y
_atom_site_fract_z
La1 La 0.0000 0.0000 0.0000
Gd1 Gd 0.0000 0.0000 0.5010
Cd1 Cd 0.3333 0.6667 0.2202
Cd2 Cd 0.6667 0.3333 0.6984
In1 In 0.3333 0.6667 0.7780
In2 In 0.6667 0.3333 0.2937
```

=====

6.
Entry from OQMD via LeMat-Bulk: an optimized crystal structure of LaGd2TlCd3In2 (PBE-GGA).

Structure (CIF):
```
data_LaGd2TlCd3In2
_symmetry_space_group_name_H-M 'A m m 2'
_symmetry_Int_Tables_number 38
_symmetry_space_group_name_Hall 'A 2 -2'
_cell_length_a 4.712
_cell_length_b 13.353
_cell_length_c 7.600
_cell_angle_alpha 90.00
_cell_angle_beta 90.00
_cell_angle_gamma 90.00
loop_
_atom_site_label
_atom_site_type_symbol
_atom_site_fract_x
_atom_site_fract_y
_atom_site_fract_z
La1 La 0.000 0.000 0.000
Gd1 Gd 0.000 0.214 0.640
Tl1 Tl 0.000 0.000 0.436
Cd1 Cd 0.500 0.000 0.680
Cd2 Cd 0.500 0.124 0.302
In1 In 0.500 0.171 0.926
```

=====

7.
Entry from OQMD via LeMat-Bulk: an optimized crystal structure of Gd3Mg3CdIn2 (PBE-GGA).

Structure (CIF):
```
data_Gd3Mg3CdIn2
_symmetry_space_group_name_H-M 'P -6 2 m'
_symmetry_Int_Tables_number 189
_symmetry_space_group_name_Hall 'P -6 -2'
_cell_length_a 7.5666
_cell_length_b 7.5666
_cell_length_c 4.6758
_cell_angle_alpha 90.00
_cell_angle_beta 90.00
_cell_angle_gamma 120.00
loop_
_atom_site_label
_atom_site_type_symbol
_atom_site_fract_x
_atom_site_fract_y
_atom_site_fract_z
Gd1 Gd 0.0000 0.4229 0.0000
Mg1 Mg 0.0000 0.7592 0.5000
Cd1 Cd 0.0000 0.0000 0.0000
In1 In 0.3333 0.6667 0.5000
```

=====

8.
Entry from OQMD via LeMat-Bulk: an optimized crystal structure of NdGd2Mg3CdIn2 (PBE-GGA).

Structure (CIF):
```
data_NdGd2Mg3CdIn2
_symmetry_space_group_name_H-M 'A m m 2'
_symmetry_Int_Tables_number 38
_symmetry_space_group_name_Hall 'A 2 -2'
_cell_length_a 4.692
_cell_length_b 13.258
_cell_length_c 7.581
_cell_angle_alpha 90.00
_cell_angle_beta 90.00
_cell_angle_gamma 90.00
loop_
_atom_site_label
_atom_site_type_symbol
_atom_site_fract_x
_atom_site_fract_y
_atom_site_fract_z
Nd1 Nd 0.000 0.000 0.000
Gd1 Gd 0.000 0.212 0.636
Mg1 Mg 0.500 0.000 0.665
Mg2 Mg 0.500 0.120 0.306
Cd1 Cd 0.000 0.000 0.430
In1 In 0.500 0.169 0.924
```

=====

Number 1: total energy -5.15 eV per atom, mass density 12.0 g/cm³. Number 2: total energy -2.79 eV per atom, mass density 9.9 g/cm³. Number 3: total energy -2.88 eV per atom, mass density 9.7 g/cm³. Number 4: total energy -3.32 eV per atom, mass density 5.8 g/cm³. Number 5: total energy -3.28 eV per atom, mass density 7.7 g/cm³. Number 6: total energy -3.16 eV per atom, mass density 8.5 g/cm³. Number 7: total energy -3.16 eV per atom, mass density 6.4 g/cm³. Number 8: total energy -3.17 eV per atom, mass density 6.2 g/cm³.